(1)
Computed, not measured: a geometry-optimized CaCoBr structure at the PBE-GGA level of DFT.

## Properties
Calculated total energy = -3.632 eV/atom
Total magnetic moment = 0.613 μB/atom
Space-group type = Fmm2, No. 42

a b c (Å): 6.373 6.370 3.477
angles (deg): 74.20 74.13 31.66
Element x y z (fractional)
Ca (0.000, 0.000, 0.000)
Co (0.340, 0.340, 0.660)
Br (0.658, 0.658, 0.342)

---

(2)
Computed, not measured: a geometry-optimized CsCaCo2Br8 structure at the PBE-GGA level of DFT.

## Properties
Calculated total energy = -3.515 eV/atom
Total magnetic moment = 0.583 μB/atom
Space-group type = R-3, No. 148

a b c (Å): 10.954 10.954 10.954
angles (deg): 36.88 36.88 36.88
Element x y z (fractional)
Cs (0.000, 0.000, 0.000)
Ca (0.500, 0.500, 0.500)
Co (0.247, 0.247, 0.247)
Co (0.753, 0.753, 0.753)
Br (0.099, 0.785, 0.447)
Br (0.215, 0.553, 0.901)
Br (0.324, 0.324, 0.324)
Br (0.447, 0.099, 0.785)
Br (0.553, 0.901, 0.215)
Br (0.676, 0.676, 0.676)
Br (0.785, 0.447, 0.099)
Br (0.901, 0.215, 0.553)

---

(3)
Computed, not measured: a geometry-optimized KCa2CoBr8 structure at the PBE-GGA level of DFT.

## Properties
Calculated total energy = -3.414 eV/atom
Total magnetic moment = 0.010 μB/atom
Space-group type = P-1, No. 2

a b c (Å): 6.489 6.591 8.874
angles (deg): 89.95 89.91 88.98
Element x y z (fractional)
K (0.000, 0.000, 0.000)
Ca (0.499, 0.500, 0.258)
Ca (0.501, 0.500, 0.742)
Co (0.000, 0.000, 0.500)
Br (0.218, 0.311, 0.501)
Br (0.222, 0.853, 0.694)
Br (0.223, 0.854, 0.306)
Br (0.266, 0.379, 0.000)
Br (0.734, 0.621, 0.000)
Br (0.777, 0.146, 0.694)
Br (0.778, 0.147, 0.306)
Br (0.782, 0.689, 0.499)

---

(4)
Computed, not measured: a geometry-optimized K2CaCoBr6 structure at the PBE-GGA level of DFT.

## Properties
Calculated total energy = -3.450 eV/atom
Total magnetic moment = 0.300 μB/atom
Space-group type = Fm-3m, No. 225

a b c (Å): 7.691 7.691 7.691
angles (deg): 60.00 60.00 60.00
Element x y z (fractional)
K (0.250, 0.250, 0.250)
K (0.750, 0.750, 0.750)
Ca (0.000, 0.000, 0.000)
Co (0.500, 0.500, 0.500)
Br (0.262, 0.262, 0.738)
Br (0.262, 0.738, 0.262)
Br (0.262, 0.738, 0.738)
Br (0.738, 0.262, 0.262)
Br (0.738, 0.262, 0.738)
Br (0.738, 0.738, 0.262)

---

(5)
Computed, not measured: a geometry-optimized LiCaCoBr2 structure at the PBE-GGA level of DFT.

## Properties
Calculated total energy = -3.017 eV/atom
Total magnetic moment = 0.083 μB/atom
Space-group type = P4/mmm, No. 123

a b c (Å): 5.065 5.065 4.878
angles (deg): 90.00 90.00 90.00
Element x y z (fractional)
Li (0.000, 0.000, 0.000)
Ca (0.500, 0.500, 0.000)
Co (0.500, 0.500, 0.500)
Br (0.000, 0.500, 0.500)
Br (0.500, 0.000, 0.500)

---

(6)
Computed, not measured: a geometry-optimized CaCo2MoBr structure at the PBE-GGA level of DFT.

## Properties
Calculated total energy = -3.616 eV/atom
Total magnetic moment = 1.414 μB/atom
Space-group type = P4/mmm, No. 123

a b c (Å): 4.653 4.653 5.742
angles (deg): 90.00 90.00 90.00
Element x y z (fractional)
Ca (0.000, 0.000, 0.000)
Co (0.000, 0.500, 0.000)
Co (0.500, 0.000, 0.000)
Mo (0.000, 0.000, 0.500)
Br (0.500, 0.500, 0.500)

---

What is the formula in the sixth record?
CaCo2MoBr